VASP calculation (GGA-PBE) on an optimized crystal structure of TaTl3Ag2S6.

Results
As for the formation energy without anion corrections: -337 meV/atom. The magnetic moment is 0.00 μB/f.u.

Lattice parameters (Å, degrees): 6.8727 11.7274 7.2274 90.00 109.53 90.00
Last column: nearest neighbours and their distance in Å.
Space group C2/m (No. 12)
Inequivalent atoms, fractional coordinates:
Ta 0.0000 0.0000 0.0000 (multiplicity 2)  6 S 2.47-2.51
Tl 0.0000 0.1625 0.5000 (multiplicity 4)  6 S 2.96-3.21
Tl 0.0000 0.5000 0.5000 (multiplicity 2)  6 S 2.96-3.26
Ag 0.0000 0.3305 0.0000 (multiplicity 4)  6 S 2.70-2.83
S 0.2159 0.1522 0.2056 (multiplicity 8)  1 Ta 2.47, 1 Ag 2.70
S 0.2391 0.0000 0.8036 (multiplicity 4)  1 Ta 2.51, 2 Ag 2.73

=====

VASP calculation (GGA-PBE) on an optimized crystal structure of Ta2MnTc.

Results
The magnetic moment is 1.30 μB/f.u. The calculation puts the formation energy at -6.1 kJ/mol of atoms.

Lattice parameters (Å, degrees): 3.2186 4.2359 4.6105 90.00 90.00 90.00
Last column: nearest neighbours and their distance in Å.
Space group Pmmm (No. 47)
Inequivalent atoms, fractional coordinates:
Ta 0.0000 0.0000 0.0000 (multiplicity 1)  4 Tc 2.66, 4 Ta 2.81
Ta 0.5000 0.0000 0.5000 (multiplicity 1)  4 Mn 2.66, 4 Ta 2.81
Mn 0.0000 0.5000 0.5000 (multiplicity 1)  4 Ta 2.66, 4 Tc 2.81
Tc 0.5000 0.5000 0.0000 (multiplicity 1)  4 Ta 2.66, 4 Mn 2.81

=====

VASP calculation (GGA-PBE) on an optimized crystal structure of LiSc2Os.

Results
The energy relative to the lowest polymorph listed for this composition comes out at 1.515 eV/f.u. The magnetic moment is 0.00 μB/f.u. The calculation puts the formation energy at 4.6 kJ/mol of atoms.

Lattice parameters (Å, degrees): 3.3268 3.3268 6.6208 90.00 90.00 90.00
Last column: nearest neighbours and their distance in Å.
Space group P4mm (No. 99)
Inequivalent atoms, fractional coordinates:
Li 0.0000 0.0000 0.0000 (multiplicity 1)  5 Sc 2.60-2.79, 4 Os 2.61
Sc 0.0000 0.0000 0.3934 (multiplicity 1)  1 Li 2.60, 4 Os 2.78
Sc 0.5000 0.5000 0.7748 (multiplicity 1)  1 Os 2.62, 4 Li 2.79
Os 0.5000 0.5000 0.1704 (multiplicity 1)  4 Li 2.61, 5 Sc 2.62-2.78

=====

VASP calculation (GGA-PBE) on an optimized crystal structure of PrTc2AgO8.

Results
As for the formation energy without anion corrections: -1565 meV/atom. The magnetic moment is 2.05 μB/f.u.

Lattice parameters (Å, degrees): 6.1540 6.1540 6.7366 90.00 90.00 120.00
Last column: nearest neighbours and their distance in Å.
Space group P-3m1 (No. 164)
Inequivalent atoms, fractional coordinates:
Pr 0.0000 0.0000 0.0000 (multiplicity 1)  6 O 2.38
Tc 0.3333 0.6667 0.3099 (multiplicity 2)  4 O 1.73-1.81
Ag 0.0000 0.0000 0.5000 (multiplicity 1)  6 O 2.62
O 0.1729 0.3458 0.2238 (multiplicity 6)  1 Tc 1.81
O 0.3333 0.6667 0.5674 (multiplicity 2)  1 Tc 1.73